Record 1
Here is PmAg2SnTe4 after structural relaxation from Alexandria. Energies are from PBE.

Structure (POSCAR):
```
PmAg2SnTe4
1.0
-3.3273 2.1110 -1.9863
3.2533 -1.0221 -6.5361
-2.3703 -6.6480 -3.0949
Pm Ag Sn Te
1 2 1 4
Direct
0.0000 0.5000 0.5000
0.0000 0.0000 0.0000
0.5000 0.0000 0.5000
0.5000 0.5000 0.0000
0.0000 0.7647 0.7506
0.0000 0.2353 0.2494
0.5000 0.7619 0.2420
0.5000 0.2381 0.7580
```

Its uncorrected formation energy is -0.487 eV/atom. The density of states at the Fermi level is 3.4 states/eV/f.u. The calculation puts the spin magnetization at 0.00 μB per cell. As for the volume: 235.8 Å³/f.u.

***

Record 2
Here is PmAgSn2Te4 after structural relaxation from Alexandria. Energies are from PBE.

Structure (POSCAR):
```
PmAgSn2Te4
1.0
-1.8796 2.8865 2.8482
4.6184 -2.5151 5.5968
3.4349 6.0070 -3.8209
Pm Ag Sn Te
1 1 2 4
Direct
0.5000 0.5000 0.0000
0.0000 0.0000 0.0000
0.5000 0.0000 0.5000
0.0000 0.5000 0.5000
0.5000 0.2399 0.2367
0.5000 0.7601 0.7633
0.0000 0.2516 0.7523
0.0000 0.7484 0.2477
```

Its uncorrected formation energy is -0.541 eV/atom. The density of states at the Fermi level is 0.2 states/eV/f.u. The calculation puts the spin magnetization at 0.00 μB per cell. As for the volume: 255.2 Å³/f.u.

***

Record 3
Here is PmTh2Ag2Sn2 after structural relaxation from Alexandria. Energies are from PBE.

Structure (POSCAR):
```
PmTh2Ag2Sn2
1.0
-2.7323 -0.7509 3.9373
1.1892 -3.4948 3.1470
4.6890 4.6483 7.1287
Pm Th Ag Sn
1 2 2 2
Direct
0.0000 0.0000 0.0000
0.1312 0.1312 0.6065
0.8688 0.8688 0.3935
0.5929 0.5929 0.2212
0.4071 0.4071 0.7788
0.7344 0.7344 0.7969
0.2656 0.2656 0.2031
```

The density of states at the Fermi level is 6.7 states/eV/f.u. The calculation puts the spin magnetization at 0.00 μB per cell. As for the volume: 189.6 Å³/f.u. As for the formation energy from the elements: -218 meV/atom.

***

Record 4
Here is PmThAgSn after structural relaxation from Alexandria. Energies are from PBE.

Structure (POSCAR):
```
PmThAgSn
1.0
5.3762 0.0000 0.0000
2.6881 4.6559 0.0000
2.6881 1.5520 4.3896
Ag Sn Th Pm
1 1 1 1
Direct
0.5000 0.5000 0.5000
0.0000 0.0000 0.0000
0.7500 0.7500 0.7500
0.2500 0.2500 0.2500
```

The density of states at the Fermi level is 3.1 states/eV/f.u. The calculation puts the spin magnetization at 0.00 μB per cell. As for the volume: 109.9 Å³/f.u. As for the formation energy from the elements: -369 meV/atom.

***

Record 5
Here is PmTlAgSn after structural relaxation from Alexandria. Energies are from PBE.

Structure (POSCAR):
```
PmTlAgSn
1.0
-0.5557 0.1599 -5.2113
2.5407 -3.4567 -3.0147
-2.6641 -3.7809 -2.4697
Tl Sn Ag Pm
1 1 1 1
Direct
0.7500 0.7500 0.7500
0.2500 0.2500 0.2500
0.0000 0.0000 0.0000
0.5000 0.5000 0.5000
```

The density of states at the Fermi level is 2.4 states/eV/f.u. The calculation puts the spin magnetization at 0.00 μB per cell. As for the volume: 101.9 Å³/f.u. As for the formation energy from the elements: -222 meV/atom.

***

Record 6
Here is Pm4TlAg2Sn after structural relaxation from Alexandria. Energies are from PBE.

Structure (POSCAR):
```
Pm4TlAg2Sn
1.0
-1.1937 -1.7764 -4.9349
3.7978 -2.3352 -3.0097
-1.3038 -9.2227 0.7037
Pm Tl Ag Sn
4 1 2 1
Direct
0.3741 0.3741 0.8778
0.8762 0.8762 0.3713
0.1238 0.1238 0.6287
0.6259 0.6259 0.1222
0.5000 0.5000 0.5000
0.7545 0.7545 0.7365
0.2455 0.2455 0.2636
0.0000 0.0000 0.0000
```

The density of states at the Fermi level is 6.1 states/eV/f.u. The calculation puts the spin magnetization at 1.28 μB per cell. As for the volume: 220.7 Å³/f.u. As for the formation energy from the elements: -433 meV/atom.

***

Record 7
Here is PmTmAgSn after structural relaxation from Alexandria. Energies are from PBE.

Structure (POSCAR):
```
PmTmAgSn
1.0
5.2681 0.0000 0.0000
2.6341 4.5623 0.0000
2.6341 1.5208 4.3014
Tm Sn Ag Pm
1 1 1 1
Direct
0.5000 0.5000 0.5000
0.7500 0.7500 0.7500
0.2500 0.2500 0.2500
0.0000 0.0000 0.0000
```

The density of states at the Fermi level is 4.1 states/eV/f.u. The calculation puts the spin magnetization at 0.03 μB per cell. As for the volume: 103.4 Å³/f.u. As for the formation energy from the elements: -495 meV/atom.

***

Record 8
Here is Pm2YAg2Sn2 after structural relaxation from Alexandria. Energies are from PBE.

Structure (POSCAR):
```
Pm2YAg2Sn2
1.0
-1.1869 0.5545 -4.6344
-3.5836 -2.5997 -1.8956
-7.6270 5.9350 0.1611
Pm Y Ag Sn
2 1 2 2
Direct
0.1274 0.1274 0.6178
0.8726 0.8726 0.3822
0.0000 0.0000 0.0000
0.6069 0.6069 0.1793
0.3931 0.3931 0.8207
0.7366 0.7366 0.7902
0.2634 0.2634 0.2098
```

The density of states at the Fermi level is 3.7 states/eV/f.u. The calculation puts the spin magnetization at 0.00 μB per cell. As for the volume: 185.9 Å³/f.u. As for the formation energy from the elements: -411 meV/atom.

***

Record 9
Here is PmYAgSn after structural relaxation from Alexandria. Energies are from PBE.

Structure (POSCAR):
```
PmYAgSn
1.0
-0.1470 -1.0631 -5.1936
4.2219 -2.1441 -2.3883
-0.1700 -5.0295 -1.6734
Y Sn Ag Pm
1 1 1 1
Direct
0.7500 0.7500 0.7500
0.0000 0.0000 0.0000
0.5000 0.5000 0.5000
0.2500 0.2500 0.2500
```

The density of states at the Fermi level is 4.0 states/eV/f.u. The calculation puts the spin magnetization at 0.31 μB per cell. As for the volume: 105.5 Å³/f.u. As for the formation energy from the elements: -532 meV/atom.

***

Record 10
Here is PmZnAgSn after structural relaxation from Alexandria. Energies are from PBE.

Structure (POSCAR):
```
PmZnAgSn
1.0
5.0146 0.0000 0.0000
2.5073 4.3428 0.0000
2.5073 1.4476 4.0944
Zn Sn Ag Pm
1 1 1 1
Direct
0.0000 0.0000 0.0000
0.2500 0.2500 0.2500
0.5000 0.5000 0.5000
0.7500 0.7500 0.7500
```

The density of states at the Fermi level is 2.3 states/eV/f.u. The calculation puts the spin magnetization at 0.00 μB per cell. As for the volume: 89.2 Å³/f.u. As for the formation energy from the elements: -333 meV/atom.

***

Record 11
Here is PmZrAgSn after structural relaxation from Alexandria. Energies are from PBE.

Structure (POSCAR):
```
PmZrAgSn
1.0
5.1445 0.0000 0.0000
2.5722 4.4552 0.0000
2.5722 1.4851 4.2004
Zr Sn Ag Pm
1 1 1 1
Direct
0.0000 0.0000 0.0000
0.2500 0.2500 0.2500
0.7500 0.7500 0.7500
0.5000 0.5000 0.5000
```

The density of states at the Fermi level is 2.6 states/eV/f.u. The calculation puts the spin magnetization at 0.00 μB per cell. As for the volume: 96.3 Å³/f.u. As for the formation energy from the elements: -315 meV/atom.

***

Record 12
Here is Sr2PmAg after structural relaxation from Alexandria. Energies are from PBE.

Structure (POSCAR):
```
Sr2PmAg
1.0
3.7909 0.0000 0.0000
0.0000 3.7909 0.0000
0.0000 0.0000 10.1969
Sr Ag Pm
2 1 1
Direct
0.0000 0.0000 0.7961
0.0000 0.0000 0.2039
0.5000 0.5000 0.0000
0.5000 0.5000 0.5000
```

The value obtained for the energy above the lowest structure with this stoichiometry is 0.000 eV per atom. The density of states at the Fermi level is 5.9 states/eV/f.u. The calculation puts the spin magnetization at 0.00 μB per cell. As for the volume: 146.5 Å³/f.u. As for the formation energy from the elements: -13 meV/atom.

***

Record 13
Here is SrPmAg after structural relaxation from Alexandria. Energies are from PBE.

Structure (POSCAR):
```
SrPmAg
1.0
3.8380 0.0000 0.0000
0.0000 3.8380 0.0000
-1.9190 -1.9190 6.8217
Sr Ag Pm
1 1 1
Direct
0.0232 0.0232 0.0464
0.6800 0.6800 0.3600
0.2968 0.2968 0.5936
```

The value obtained for the energy above the lowest structure with this stoichiometry is 0.000 eV per atom. The density of states at the Fermi level is 3.1 states/eV/f.u. The calculation puts the spin magnetization at 0.00 μB per cell. As for the volume: 100.5 Å³/f.u. As for the formation energy from the elements: -112 meV/atom.

***

Record 14
Here is SrPm5Ag6 after structural relaxation from Alexandria. Energies are from PBE.

Structure (POSCAR):
```
SrPm5Ag6
1.0
5.0484 -0.0300 1.6824
0.0403 7.4929 0.0134
-0.0062 -0.0150 8.4342
Sr Ag Pm
1 6 5
Direct
0.0000 0.0000 0.0000
0.8274 0.7435 0.3452
0.8274 0.2565 0.3452
0.5000 0.2644 0.0000
0.5000 0.7356 0.0000
0.1726 0.7435 0.6548
0.1726 0.2565 0.6548
0.6651 0.5000 0.6698
0.3334 0.0000 0.3333
0.0000 0.5000 0.0000
0.6666 0.0000 0.6667
0.3349 0.5000 0.3302
```

The density of states at the Fermi level is 8.8 states/eV/f.u. The calculation puts the spin magnetization at 0.00 μB per cell. As for the volume: 319.1 Å³/f.u. As for the formation energy from the elements: -261 meV/atom.

***

Record 15
Here is Sr3PmAg4 after structural relaxation from Alexandria. Energies are from PBE.

Structure (POSCAR):
```
Sr3PmAg4
1.0
3.8716 0.0000 0.0000
0.0000 3.8716 0.0000
0.0000 0.0000 15.6264
Sr Ag Pm
3 4 1
Direct
0.5000 0.5000 0.2436
0.5000 0.5000 0.5000
0.5000 0.5000 0.7564
0.0000 0.0000 0.8948
0.0000 0.0000 0.1052
0.0000 0.0000 0.3727
0.0000 0.0000 0.6273
0.5000 0.5000 0.0000
```

The density of states at the Fermi level is 7.1 states/eV/f.u. The calculation puts the spin magnetization at 0.00 μB per cell. As for the volume: 234.2 Å³/f.u. As for the formation energy from the elements: -265 meV/atom.

***

Record 16
Here is SrPm2Ag9 after structural relaxation from Alexandria. Energies are from PBE.

Structure (POSCAR):
```
SrPm2Ag9
1.0
-2.0822 5.3831 -0.0233
-5.2579 1.0697 2.1268
1.2701 3.6251 9.1484
Sr Pm Ag
1 2 9
Direct
0.0000 0.0000 0.0000
0.8546 0.8546 0.4361
0.1454 0.1454 0.5639
0.6669 0.6669 0.9994
0.3331 0.3331 0.0006
0.5000 0.5000 0.5000
0.4139 0.4139 0.2542
0.9180 0.4139 0.2542
0.4139 0.9180 0.2542
0.5861 0.5861 0.7458
0.5861 0.0820 0.7458
0.0820 0.5861 0.7458
```

The density of states at the Fermi level is 7.7 states/eV/f.u. The calculation puts the spin magnetization at 0.00 μB per cell. As for the volume: 269.6 Å³/f.u. As for the formation energy from the elements: -180 meV/atom.

***

Record 17
Here is Sr2PmAg after structural relaxation from Alexandria. Energies are from PBE.

Structure (POSCAR):
```
Sr2PmAg
1.0
-2.9943 -1.5199 1.9552
0.6218 -1.9218 3.3195
-1.9766 9.1247 7.9271
Sr Ag Pm
2 1 1
Direct
0.1023 0.1023 0.6931
0.8977 0.8977 0.3069
0.5000 0.5000 0.5000
0.0000 0.0000 0.0000
```

The value obtained for the energy above the lowest structure with this stoichiometry is 0.234 eV per atom. The density of states at the Fermi level is 4.9 states/eV/f.u. The calculation puts the spin magnetization at 0.36 μB per cell. As for the volume: 157.4 Å³/f.u. As for the formation energy from the elements: 221 meV/atom.

***

Record 18
Here is SrPmAg10 after structural relaxation from Alexandria. Energies are from PBE.

Structure (POSCAR):
```
SrPmAg10
1.0
4.7246 0.0000 0.0000
0.0000 5.6390 0.0000
0.0000 0.0000 9.8300
Sr Pm Ag
1 1 10
Direct
0.0000 0.0000 0.0000
0.0000 0.5000 0.5000
0.0000 0.0000 0.3391
0.0000 0.5000 0.8269
0.0000 0.5000 0.1731
0.0000 0.0000 0.6609
0.5000 0.0000 0.5000
0.5000 0.5000 0.0000
0.5000 0.2530 0.2550
0.5000 0.7470 0.7450
0.5000 0.7470 0.2550
0.5000 0.2530 0.7450
```

The density of states at the Fermi level is 6.6 states/eV/f.u. The calculation puts the spin magnetization at 0.00 μB per cell. As for the volume: 261.9 Å³/f.u. As for the formation energy from the elements: -138 meV/atom.

***

Record 19
Here is Sr2PmAg4 after structural relaxation from Alexandria. Energies are from PBE.

Structure (POSCAR):
```
Sr2PmAg4
1.0
-5.1999 -1.8175 0.9580
-1.3897 1.1913 -5.2830
5.1338 -5.9474 0.2670
Sr Pm Ag
2 1 4
Direct
0.7199 0.7199 0.4398
0.2801 0.2801 0.5602
0.0000 0.0000 0.0000
0.3940 0.8940 0.7879
0.8940 0.3940 0.7879
0.6060 0.1060 0.2121
0.1060 0.6060 0.2121
```

The density of states at the Fermi level is 5.0 states/eV/f.u. The calculation puts the spin magnetization at 0.00 μB per cell. As for the volume: 212.4 Å³/f.u. As for the formation energy from the elements: -92 meV/atom.

***

Record 20
Here is SrPm2Ag4 after structural relaxation from Alexandria. Energies are from PBE.

Structure (POSCAR):
```
SrPm2Ag4
1.0
-2.3308 -4.4176 -0.7187
-0.3418 -3.3178 3.7868
-9.3787 1.4502 3.7862
Sr Pm Ag
1 2 4
Direct
0.0000 0.0000 0.0000
0.7888 0.7888 0.6337
0.2112 0.2112 0.3663
0.8941 0.8941 0.3176
0.1059 0.1059 0.6824
0.5900 0.5900 0.2300
0.4100 0.4100 0.7700
```

The density of states at the Fermi level is 6.5 states/eV/f.u. The calculation puts the spin magnetization at 0.00 μB per cell. As for the volume: 216.0 Å³/f.u. As for the formation energy from the elements: -97 meV/atom.